The following is a PBE-GGA calculation of a geometry-optimized PBr structure, from Alexandria.

The space group is R-3m (No. 166, hexagonal axes) and the conventional cell measures 3.9909, 3.9909 and 9.8854 Å, with angles of 90.00, 90.00 and 120.00 degrees. The asymmetric unit holds P at (0.0000, 0.0000, 0.0000) and Br at (0.0000, 0.0000, 0.5000).

The energy above the most stable polymorph in this dataset is 1.0468 eV per atom. The raw formation energy comes out at 0.917 eV per atom. As for the electronic total energy: -2.62 eV/atom. For the total magnetization, the calculation gives 0.00 μB/cell.

***

The following is a PBE-GGA calculation of a geometry-optimized Dy2PaSe6 structure, from Alexandria.

The space group is P4_2/mnm (No. 136) and the conventional cell measures 6.690, 6.690 and 12.602 Å, with angles of 90.00, 90.00 and 90.00 degrees. The asymmetric unit holds Dy at (0.000, 0.000, 0.167), Pa at (0.000, 0.000, 0.500), Se at (0.197, 0.197, 0.338) and Se at (0.206, 0.206, 0.000).

The raw formation energy comes out at -1.421 eV per atom. As for the electronic total energy: -5.82 eV/atom. For the total magnetization, the calculation gives 0.00 μB/cell.